VASP calculation (PBE-GGA) on crystalline TbDy6Er8 at its relaxed geometry.

abc: 8.5350 8.5350 8.5350
angles: 63.21 63.21 63.21
Last column: nearest neighbours and their distance in Å.
Fractional positions:
Tb (0.0000, 0.0000, 0.0000)  6 Dy 3.39, 6 Er 3.49
Dy (0.1103, 0.2257, 0.5399)  4 Er 3.34-3.69, 1 Tb 3.39, 4 Dy 3.44-3.69
Dy (0.2257, 0.5399, 0.1103)  4 Er 3.34-3.69, 1 Tb 3.39, 4 Dy 3.44-3.69
Dy (0.4601, 0.8897, 0.7743)  4 Er 3.34-3.69, 1 Tb 3.39, 4 Dy 3.44-3.69
Dy (0.5399, 0.1103, 0.2257)  4 Er 3.34-3.69, 1 Tb 3.39, 4 Dy 3.44-3.69
Dy (0.7743, 0.4601, 0.8897)  4 Er 3.34-3.69, 1 Tb 3.39, 4 Dy 3.44-3.69
Dy (0.8897, 0.7743, 0.4601)  4 Er 3.34-3.69, 1 Tb 3.39, 4 Dy 3.44-3.69
Er (0.1102, 0.7431, 0.7210)  3 Dy 3.35-3.69, 5 Er 3.37-3.39, 1 Tb 3.49
Er (0.2569, 0.2790, 0.8898)  3 Dy 3.35-3.69, 5 Er 3.37-3.39, 1 Tb 3.49
Er (0.2790, 0.8898, 0.2569)  3 Dy 3.35-3.69, 5 Er 3.37-3.39, 1 Tb 3.49
Er (0.4235, 0.4235, 0.4235)  4 Er 3.12-3.38, 3 Dy 3.34
Er (0.5765, 0.5765, 0.5765)  4 Er 3.12-3.38, 3 Dy 3.34
Er (0.7210, 0.1102, 0.7431)  3 Dy 3.35-3.69, 5 Er 3.37-3.39, 1 Tb 3.49
Er (0.7431, 0.7210, 0.1102)  3 Dy 3.35-3.69, 5 Er 3.37-3.39, 1 Tb 3.49
Er (0.8898, 0.2569, 0.2790)  3 Dy 3.35-3.69, 5 Er 3.37-3.39, 1 Tb 3.49

Computed properties:
As for the total energy: -4.4529 eV per atom. As for the formation energy: 2.0 eV/f.u. The value obtained for the density of states at the Fermi level is 22.3 states/eV/cell. The crystal system is trigonal.

VASP calculation (PBE-GGA) on crystalline ScTe2WN at its relaxed geometry.

abc: 5.4838 5.4838 3.8180
angles: 90.00 90.00 90.00
Last column: nearest neighbours and their distance in Å.
Fractional positions:
Sc (0.0000, 0.0000, 0.0000)  8 Te 3.34
Te (0.0000, 0.5000, 0.5000)  2 W 2.74
Te (0.5000, 0.0000, 0.5000)  2 W 2.74
W (0.5000, 0.5000, 0.5000)  2 N 1.91
N (0.5000, 0.5000, 0.0000)  2 W 1.91

Computed properties:
The relative energy among the computed polymorphs comes out at 0.0 kJ per mole of atoms. As for the total energy: -6.7929 eV per atom. The value obtained for the formation energy from raw total energies is -14 meV per atom. The value obtained for the density of states at the Fermi level is 3.0 states/eV/cell. The crystal system is tetragonal.

VASP calculation (PBE-GGA) on crystalline Pm2Zn3Au at its relaxed geometry.

abc: 9.1993 8.7390 5.8113
angles: 75.45 66.85 37.70
Last column: nearest neighbours and their distance in Å.
Fractional positions:
Pm (0.2418, 0.7582, 0.7582)  10 Zn 3.18-3.19, 2 Au 3.18, 1 Pm 3.46
Pm (0.2500, 0.2500, 0.2500)  4 Au 3.19, 8 Zn 3.22
Pm (0.7500, 0.7500, 0.7500)  4 Au 3.19, 8 Zn 3.22
Pm (0.7582, 0.2418, 0.2418)  10 Zn 3.18-3.19, 2 Au 3.18, 1 Pm 3.46
Zn (0.1733, 0.6629, 0.3371)  2 Zn 2.59-2.61, 1 Au 2.71
Zn (0.3373, 0.3373, 0.6627)  2 Zn 2.59, 1 Au 2.70
Zn (0.3371, 0.8267, 0.1733)  2 Zn 2.59-2.61, 1 Au 2.71
Zn (0.6629, 0.1733, 0.8267)  2 Zn 2.59-2.61, 1 Au 2.71
Zn (0.6627, 0.6627, 0.3373)  2 Zn 2.59, 1 Au 2.70
Zn (0.8267, 0.3371, 0.6629)  2 Zn 2.59-2.61, 1 Au 2.71
Au (0.1677, 0.1677, 0.8323)  3 Zn 2.70-2.71
Au (0.8323, 0.8323, 0.1677)  3 Zn 2.70-2.71

Computed properties:
The relative energy among the computed polymorphs comes out at 0.0 kJ per mole of atoms. As for the total energy: -3.2687 eV per atom. As for the formation energy: -3.0 eV/f.u. The value obtained for the density of states at the Fermi level is 9.0 states/eV/cell. The crystal system is orthorhombic.

Short version: total magnetic moment = 0.00 0.42 0.00 μB per cell, in the order given.